1.
{"formula": "RbDyCuF6", "functional": "PBE-GGA", "state": "optimized geometry", "cell": [[-3.698, 3.813, 5.098], [3.698, -3.813, 5.098], [3.698, 3.813, -5.098]], "species": ["Rb", "Rb", "Dy", "Dy", "Cu", "Cu", "F", "F", "F", "F", "F", "F", "F", "F", "F", "F", "F", "F"], "fractional_positions": [[0.410, 0.160, 0.250], [0.590, 0.840, 0.750], [0.000, 0.000, 0.500], [0.000, 0.500, 0.000], [0.000, 0.500, 0.500], [0.500, 0.500, 0.000], [0.124, 0.874, 0.250], [0.133, 0.383, 0.750], [0.144, 0.438, 0.318], [0.144, 0.826, 0.706], [0.380, 0.174, 0.818], [0.380, 0.562, 0.206], [0.620, 0.438, 0.794], [0.620, 0.826, 0.182], [0.856, 0.174, 0.294], [0.856, 0.562, 0.682], [0.867, 0.617, 0.250], [0.876, 0.126, 0.750]]}

***

2.
{"formula": "Co2IrSe", "functional": "PBE-GGA", "state": "optimized geometry", "n_ef_per_ev_fu": 5.35, "cell": [[0.000, 3.005, 3.005], [3.005, 0.000, 3.005], [3.005, 3.005, 0.000]], "species": ["Co", "Co", "Ir", "Se"], "fractional_positions": [[0.000, 0.000, 0.000], [0.250, 0.250, 0.250], [0.750, 0.750, 0.750], [0.500, 0.500, 0.500]]}

***

Ordered total energy results: -5.2630, -6.2211; unit eV/atom.
Ordered formation energy (no corrections) results: -2941, 418; unit meV/atom.